# La4Y15Er PBE relaxed
data_La4Y15Er
_chemical_formula_sum 'La4 Y15 Er1'
_space_group_name_H-M_alt 'P 1'
_space_group_IT_number 1
_cell_length_a 5.127
_cell_length_b 5.127
_cell_length_c 25.281
_cell_angle_alpha 90.00
_cell_angle_beta 90.00
_cell_angle_gamma 90.00
loop_
_space_group_symop_operation_xyz
'x,y,z'
loop_
_atom_site_label
_atom_site_fract_x
_atom_site_fract_y
_atom_site_fract_z
_atom_site_occupancy
Y1 0.500 0.500 0.600 1
Y2 0.000 0.500 0.500 1
Y3 0.500 0.500 0.198 1
Y4 0.500 0.000 0.097 1
Y5 0.000 0.500 0.097 1
Y6 0.000 0.500 0.903 1
Y7 0.500 0.500 0.802 1
Y8 0.500 0.500 0.400 1
Y9 0.000 0.500 0.701 1
Y10 0.500 0.500 0.000 1
Y11 0.500 0.000 0.903 1
Y12 0.000 0.500 0.299 1
Y13 0.500 0.000 0.500 1
Y14 0.500 0.000 0.299 1
Y15 0.500 0.000 0.701 1
La1 0.000 0.000 0.801 1
La2 0.000 0.000 0.399 1
La3 0.000 0.000 0.199 1
La4 0.000 0.000 0.601 1
Er1 0.000 0.000 0.000 1
# Magnetic moment = 0.000 μB/cell

# LaY6Er8 PBE relaxed
data_LaY6Er8
_chemical_formula_sum 'La1 Y6 Er8'
_space_group_name_H-M_alt 'P 1'
_space_group_IT_number 1
_cell_length_a 6.413
_cell_length_b 9.479
_cell_length_c 9.479
_cell_angle_alpha 120.00
_cell_angle_beta 90.00
_cell_angle_gamma 90.00
loop_
_space_group_symop_operation_xyz
'x,y,z'
loop_
_atom_site_label
_atom_site_fract_x
_atom_site_fract_y
_atom_site_fract_z
_atom_site_occupancy
Er1 0.849 0.333 0.667 1
Er2 0.151 0.667 0.333 1
Er3 0.087 0.023 0.685 1
Er4 0.913 0.685 0.662 1
Er5 0.087 0.662 0.977 1
Er6 0.087 0.315 0.338 1
Er7 0.913 0.338 0.023 1
Er8 0.913 0.977 0.315 1
Y1 0.414 0.106 0.423 1
Y2 0.586 0.894 0.577 1
Y3 0.414 0.577 0.683 1
Y4 0.586 0.683 0.106 1
Y5 0.414 0.317 0.894 1
Y6 0.586 0.423 0.317 1
La1 0.500 0.000 0.000 1
# Magnetic moment = 0.000 μB/cell

# LaY4Er PBE relaxed
data_LaY4Er
_chemical_formula_sum 'La1 Y4 Er1'
_space_group_name_H-M_alt 'P 1'
_space_group_IT_number 1
_cell_length_a 3.555
_cell_length_b 5.463
_cell_length_c 10.334
_cell_angle_alpha 90.00
_cell_angle_beta 80.18
_cell_angle_gamma 90.00
loop_
_space_group_symop_operation_xyz
'x,y,z'
loop_
_atom_site_label
_atom_site_fract_x
_atom_site_fract_y
_atom_site_fract_z
_atom_site_occupancy
Er1 0.787 0.501 0.003 1
Y1 0.707 0.001 0.166 1
Y2 0.134 0.501 0.313 1
Y3 0.361 0.001 0.856 1
Y4 0.953 0.501 0.674 1
La1 0.542 0.001 0.499 1
# E above lowest polymorph = 0 meV/atom
# Magnetic moment = 0.000 μB/cell

| no. | energy of formation (meV/atom) | E_tot (eV/atom) |
| --- | --- | --- |
| 1 | 31 | -6.0306 |
| 2 | 220 | -5.1274 |
| 3 | 41 | -5.8503 |